This record from the Alexandria database describes an optimized crystal structure of PaTl2FeO8. The functional is PBE with a Hubbard U.

```
PaTl2FeO8
1.0
-3.007 3.609 -3.896
-0.753 -5.435 -2.673
-2.079 0.258 5.732
Pa Tl Fe O
1 2 1 8
Cartesian
0.000 0.000 0.000 Pa
-3.483 1.477 -0.724 Tl
-1.880 -0.913 -3.285 Tl
-2.356 -3.045 -0.112 Fe
-1.705 1.148 0.365 O
-1.621 -1.558 -1.209 O
-2.551 0.799 3.283 O
-3.618 2.602 1.055 O
-3.744 -0.534 -4.368 O
-3.771 2.051 -2.734 O
-4.836 0.105 -1.583 O
-3.761 -1.844 0.620 O
```

Properties
- DOS at the Fermi energy (states/eV/f.u.) = 7.2
- VASP energy (eV per cell) = -74.58
- ρ (g/cm3) = 7.95
- symmetry = No. 119